[1]
DFT (PBE) results for a relaxed structure of CsPtBr2.

Lattice parameters (Å, degrees): 7.8360 7.8360 7.8360 90.00 90.00 90.00
Last column: nearest neighbours and their distance in Å.
Space group Fm-3m (No. 225)
One atom of each set of equivalent atoms:
Cs1 0.0000 0.0000 0.0000  8 Br 3.39
Pt1 0.0000 0.0000 0.5000  8 Br 3.39
Br1 0.2500 0.2500 0.2500  4 Pt 3.39, 4 Cs 3.39

Properties
calculated volume	30.07	Å³/atom
energy above the most stable polymorph in this dataset	557	meV per atom
energy	-2.541	eV per atom
M_tot	1.007	μB per formula unit

=====

[2]
DFT (PBE) results for a relaxed structure of Cs2PtBr.

Lattice parameters (Å, degrees): 8.7681 8.7681 8.7681 90.00 90.00 90.00
Last column: nearest neighbours and their distance in Å.
Space group Fm-3m (No. 225)
One atom of each set of equivalent atoms:
Cs1 0.2500 0.2500 0.2500  4 Br 3.80, 4 Pt 3.80
Pt1 0.0000 0.0000 0.0000  8 Cs 3.80
Br1 0.0000 0.0000 0.5000  8 Cs 3.80

Properties
calculated volume	42.13	Å³/atom
energy above the most stable polymorph in this dataset	0	meV per atom
energy	-2.740	eV per atom
M_tot	1.000	μB per formula unit

=====

[3]
DFT (PBE) results for a relaxed structure of CsPtBr.

Lattice parameters (Å, degrees): 5.0160 5.4653 16.5534 90.00 90.00 90.00
Last column: nearest neighbours and their distance in Å.
Space group Amm2 (No. 38)
One atom of each set of equivalent atoms:
Cs1 0.0000 0.0000 0.0000  2 Pt 3.48, 4 Br 3.82
Cs2 0.0000 0.0000 0.2608  2 Pt 3.48, 4 Br 3.72
Pt1 0.0000 0.0000 0.6305  2 Pt 2.59
Pt2 0.5000 0.0000 0.5925  2 Br 2.44-2.47, 2 Pt 2.59
Br1 0.5000 0.0000 0.4451  1 Pt 2.44
Br2 0.5000 0.0000 0.7416  1 Pt 2.47

Properties
calculated volume	37.82	Å³/atom
energy above the most stable polymorph in this dataset	67	meV per atom
energy	-3.469	eV per atom
M_tot	0.001	μB per formula unit

=====

Number 1: E_form (uncorrected) 0.08 eV per formula unit. Number 2: E_form (uncorrected) -1.54 eV per formula unit. Number 3: E_form (uncorrected) -1.84 eV per formula unit.